The following is a DFT calculation (meta-GGA SCAN) of Cr2TcMo at its PBEsol-relaxed geometry. Values from VASP.

```
&SYSTEM
  ibrav = 0, nat = 4, ntyp = 3
/
ATOMIC_SPECIES
Cr 52.00 Cr.upf
Mo 95.94 Mo.upf
Tc 98.00 Tc.upf
CELL_PARAMETERS angstrom
-3.7318 -0.0831 -1.8883
-0.2297 -0.0830 -4.1760
-1.2776 -3.4700 -1.9559
ATOMIC_POSITIONS crystal
Cr 0.2500 0.2500 0.2500
Cr 0.7500 0.7500 0.7500
Mo 0.0000 0.0000 0.0000
Tc 0.5000 0.5000 0.5000
```

Calculated values
**Total magnetization**: 0.73 μB per formula unit
**Formation energy from the elements**: 0.028 eV/atom
**E above lowest polymorph**: 0.168 eV per formula unit

The following is a DFT calculation (meta-GGA SCAN) of EuAlO3 at its PBEsol-relaxed geometry. Values from VASP.

```
&SYSTEM
  ibrav = 0, nat = 5, ntyp = 3
/
ATOMIC_SPECIES
Eu 151.96 Eu.upf
Al 26.98 Al.upf
O 16.00 O.upf
CELL_PARAMETERS angstrom
3.7212 0.0000 0.0000
0.0000 3.7212 0.0000
0.0000 0.0000 3.7212
ATOMIC_POSITIONS crystal
Eu 0.5000 0.5000 0.5000
Al 0.0000 0.0000 0.0000
O 0.0000 0.0000 0.5000
O 0.5000 0.0000 0.0000
O 0.0000 0.5000 0.0000
```

Calculated values
**Total magnetization**: 6.00 μB per formula unit
**E_form (uncorrected)**: -3.25 eV per atom

The following is a DFT calculation (meta-GGA SCAN) of Fe3PtCl at its PBEsol-relaxed geometry. Values from VASP.

```
&SYSTEM
  ibrav = 0, nat = 5, ntyp = 3
/
ATOMIC_SPECIES
Fe 55.84 Fe.upf
Pt 195.08 Pt.upf
Cl 35.45 Cl.upf
CELL_PARAMETERS angstrom
4.0529 0.0000 0.0000
0.0000 4.0529 0.0000
0.0000 0.0000 4.0529
ATOMIC_POSITIONS crystal
Fe 0.0000 0.5000 0.0000
Fe 0.0000 0.0000 0.5000
Fe 0.5000 0.0000 0.0000
Pt 0.5000 0.5000 0.5000
Cl 0.0000 0.0000 0.0000
```

Calculated values
**Total magnetization**: 7.17 μB per formula unit
**E_form (uncorrected)**: 0.65 eV per atom

The following is a DFT calculation (meta-GGA SCAN) of Be3NbF at its PBEsol-relaxed geometry. Values from VASP.

```
&SYSTEM
  ibrav = 0, nat = 5, ntyp = 3
/
ATOMIC_SPECIES
Be 9.01 Be.upf
Nb 92.91 Nb.upf
F 19.00 F.upf
CELL_PARAMETERS angstrom
-3.9935 -2.3001 -0.4202
2.2441 -4.0040 0.5894
-0.6565 0.3048 4.5707
ATOMIC_POSITIONS crystal
Be 0.0000 0.5000 0.0000
Be 0.0000 0.0000 0.5000
Be 0.5000 0.0000 0.0000
Nb 0.0000 0.0000 0.0000
F 0.5000 0.5000 0.5000
```

Calculated values
**Total magnetization**: 2.77 μB per formula unit
**E_form (uncorrected)**: 1.67 eV per atom